Entry 1:
# Nb3HgBr, optimized geometry, DFT GGA-PBE
data_Nb3HgBr
_chemical_formula_sum 'Nb3 Hg1 Br1'
_symmetry_space_group_name_H-M 'P m -3 m'
_symmetry_Int_Tables_number 221
_symmetry_space_group_name_Hall '-P 4 2 3'
_cell_length_a 4.7657
_cell_length_b 4.7657
_cell_length_c 4.7657
_cell_angle_alpha 90.00
_cell_angle_beta 90.00
_cell_angle_gamma 90.00
loop_
_atom_site_label
_atom_site_fract_x
_atom_site_fract_y
_atom_site_fract_z
Nb1 0.0000 0.0000 0.5000
Hg1 0.5000 0.5000 0.5000
Br1 0.0000 0.0000 0.0000
# N(E_F) ... 1.35 states/eV per atom
# Offset from the most stable computed form ... 0.00 eV/f.u.
# Mass density ... 8.6 g/cm3



Entry 2:
# Nb3Hg2Br10, optimized geometry, DFT GGA-PBE
data_Nb3Hg2Br10
_chemical_formula_sum 'Nb12 Hg8 Br40'
_symmetry_space_group_name_H-M 'C 1 2/m 1'
_symmetry_Int_Tables_number 12
_cell_length_a 25.4885
_cell_length_b 7.4779
_cell_length_c 10.7211
_cell_angle_alpha 90.00
_cell_angle_beta 110.82
_cell_angle_gamma 90.00
loop_
_symmetry_equiv_pos_as_xyz
'x,y,z'
'-x,-y,-z'
'-x,y,-z'
'x,-y,z'
'x+1/2,y+1/2,z'
'-x+1/2,-y+1/2,-z'
'-x+1/2,y+1/2,-z'
'x+1/2,-y+1/2,z'
loop_
_atom_site_label
_atom_site_fract_x
_atom_site_fract_y
_atom_site_fract_z
Nb1 0.0000 0.2133 0.0000
Nb2 0.0819 0.0000 0.4981
Nb3 0.1796 0.0000 0.0271
Hg1 0.1226 0.5000 0.7503
Hg2 0.2294 0.5000 0.3238
Br1 0.0000 0.2275 0.5000
Br2 0.0154 0.0000 0.2038
Br3 0.0167 0.5000 0.1679
Br4 0.1083 0.2473 0.0369
Br5 0.1308 0.0000 0.7514
Br6 0.1336 0.2539 0.4540
Br7 0.2265 0.0000 0.2719
Br8 0.2500 0.2500 0.0000
# N(E_F) ... 0.50 states/eV per atom
# Mass density ... 5.1 g/cm3



| no. | VASP energy (eV per atom) | E_form (uncorrected) (kJ/mol of formula units) |
| --- | --- | --- |
| 1 | -5.3557 | 522 |
| 2 | -3.7596 | -854 |